1.
A geometry-optimized HfZn2AgH structure, computed with PBE.

Output
Size of the total moment in μB per atom: 0.00
N(E_F) in states/eV per atom: 0.73
Crystal system: tetragonal
ρ in g cm⁻³: 5.85
Final energy in eV/atom: -2.671
SG: P4/mmm (123)
V in A^3/atom: 23.76

```
data_HfZn2AgH
_cell_length_a 4.7656
_cell_length_b 4.7656
_cell_length_c 5.2300
_cell_angle_alpha 90.00
_cell_angle_beta 90.00
_cell_angle_gamma 90.00
_symmetry_space_group_name_H-M 'P 1'
_symmetry_Int_Tables_number 1
_symmetry_space_group_name_Hall 'P 1'
loop_
_atom_site_label
_atom_site_type_symbol
_atom_site_fract_x
_atom_site_fract_y
_atom_site_fract_z
Hf1 Hf 0.0000 0.0000 0.0000
Zn1 Zn 0.0000 0.5000 0.5000
Zn2 Zn 0.5000 0.0000 0.5000
Ag1 Ag 0.0000 0.0000 0.5000
H1 H 0.5000 0.5000 0.0000
```

***

2.
A geometry-optimized Ho8GaC4 structure, computed with PBE.

Output
Size of the total moment in μB per atom: 0.00
N(E_F) in states/eV per atom: 0.78
Crystal system: monoclinic
ρ in g cm⁻³: 8.66
SG: C2/m (12)
Formation energy from the elements in eV/atom: -0.2842
V in A^3/atom: 21.19

```
data_Ho8GaC4
_cell_length_a 8.8408
_cell_length_b 8.8408
_cell_length_c 11.8771
_cell_angle_alpha 130.91
_cell_angle_beta 130.91
_cell_angle_gamma 23.53
_symmetry_space_group_name_H-M 'P 1'
_symmetry_Int_Tables_number 1
_symmetry_space_group_name_Hall 'P 1'
loop_
_atom_site_label
_atom_site_type_symbol
_atom_site_fract_x
_atom_site_fract_y
_atom_site_fract_z
Ho1 Ho 0.0426 0.0426 0.2339
Ho2 Ho 0.3019 0.3019 0.4384
Ho3 Ho 0.3398 0.3398 0.1651
Ho4 Ho 0.3648 0.3648 0.9075
Ho5 Ho 0.6352 0.6352 0.0925
Ho6 Ho 0.6602 0.6602 0.8349
Ho7 Ho 0.6981 0.6981 0.5616
Ho8 Ho 0.9574 0.9574 0.7661
Ga1 Ga 0.0000 0.0000 0.5000
C1 C 0.1498 0.1498 0.9655
C2 C 0.3310 0.3310 0.6697
C3 C 0.6690 0.6690 0.3303
C4 C 0.8502 0.8502 0.0345
```

***

3.
A geometry-optimized CsNaBeTe2 structure, computed with PBE.

Output
Size of the total moment in μB per atom: 0.00
N(E_F) in states/eV per atom: 0.00
Crystal system: monoclinic
ρ in g cm⁻³: 3.30
SG: P2/c (13)
Formation energy without anion corrections in kJ/mol of atoms: -63.44
V in A^3/atom: 42.24

```
data_CsNaBeTe2
_cell_length_a 8.3619
_cell_length_b 6.0174
_cell_length_c 8.6879
_cell_angle_alpha 90.00
_cell_angle_beta 104.90
_cell_angle_gamma 90.00
_symmetry_space_group_name_H-M 'P 1'
_symmetry_Int_Tables_number 1
_symmetry_space_group_name_Hall 'P 1'
loop_
_atom_site_label
_atom_site_type_symbol
_atom_site_fract_x
_atom_site_fract_y
_atom_site_fract_z
Cs1 Cs 0.0000 0.2473 0.2500
Cs2 Cs 0.0000 0.7527 0.7500
Na1 Na 0.5000 0.4858 0.7500
Na2 Na 0.5000 0.5142 0.2500
Be1 Be 0.5000 0.0000 0.0000
Be2 Be 0.5000 0.0000 0.5000
Te1 Te 0.2877 0.2363 0.9527
Te2 Te 0.2877 0.7637 0.4527
Te3 Te 0.7123 0.2363 0.5473
Te4 Te 0.7123 0.7637 0.0473
```

***

- Look up the size of the total moment of the first one.
  0.00 μB per atom

***

What did the first record say?
A geometry-optimized HfZn2AgH structure, computed with PBE.

Output
Size of the total moment in μB per atom: 0.00
N(E_F) in states/eV per atom: 0.73
Crystal system: tetragonal
ρ in g cm⁻³: 5.85
Final energy in eV/atom: -2.671
SG: P4/mmm (123)
V in A^3/atom: 23.76

```
data_HfZn2AgH
_cell_length_a 4.7656
_cell_length_b 4.7656
_cell_length_c 5.2300
_cell_angle_alpha 90.00
_cell_angle_beta 90.00
_cell_angle_gamma 90.00
_symmetry_space_group_name_H-M 'P 1'
_symmetry_Int_Tables_number 1
_symmetry_space_group_name_Hall 'P 1'
loop_
_atom_site_label
_atom_site_type_symbol
_atom_site_fract_x
_atom_site_fract_y
_atom_site_fract_z
Hf1 Hf 0.0000 0.0000 0.0000
Zn1 Zn 0.0000 0.5000 0.5000
Zn2 Zn 0.5000 0.0000 0.5000
Ag1 Ag 0.0000 0.0000 0.5000
H1 H 0.5000 0.5000 0.0000
```

***

- What is the size of the total moment in the second record?
  0.00 μB per atom